[1]
The following is a PBE calculation of crystalline HgIr2Os at its relaxed geometry, from the Alexandria database.

a b c (Å): 9.409 9.409 9.409
angles (deg): 17.25 17.25 17.25
Fractional positions:
Hg (0.000, 0.000, 0.000)
Ir (0.243, 0.243, 0.243)
Ir (0.757, 0.757, 0.757)
Os (0.500, 0.500, 0.500)

Results
For the final energy, the calculation gives -6.99 eV per atom.

[2]
The following is a PBE calculation of crystalline ZnCdMo at its relaxed geometry, from the Alexandria database.

a b c (Å): 6.889 6.889 6.889
angles (deg): 156.78 156.78 33.07
Fractional positions:
Zn (0.000, 0.000, 0.000)
Cd (0.674, 0.674, 0.000)
Mo (0.350, 0.350, 0.000)

Results
For the final energy, the calculation gives -4.08 eV per atom.

[3]
The following is a PBE calculation of crystalline SbOsPb at its relaxed geometry, from the Alexandria database.

a b c (Å): 3.466 3.466 6.807
angles (deg): 90.00 90.00 120.00
Fractional positions:
Sb (0.000, 0.000, 0.000)
Os (0.667, 0.333, 0.255)
Pb (0.333, 0.667, 0.567)

Results
For the final energy, the calculation gives -5.84 eV per atom. The uncorrected formation energy is 0.5095 eV per atom.

[4]
The following is a PBE calculation of crystalline Ca2GeSbN at its relaxed geometry, from the Alexandria database.

a b c (Å): 4.927 4.927 4.385
angles (deg): 90.00 90.00 90.00
Fractional positions:
Ca (0.000, 0.500, 0.000)
Ca (0.500, 0.000, 0.000)
Ge (0.000, 0.000, 0.500)
Sb (0.500, 0.500, 0.500)
N (0.000, 0.000, 0.000)

Results
For the final energy, the calculation gives -4.83 eV per atom. The uncorrected formation energy is -0.6179 eV per atom.

[5]
The following is a PBE calculation of crystalline MgAlTl2 at its relaxed geometry, from the Alexandria database.

a b c (Å): 5.831 5.831 5.521
angles (deg): 107.65 107.65 33.65
Fractional positions:
Mg (0.000, 0.000, 0.000)
Al (0.284, 0.284, 0.680)
Tl (0.535, 0.535, 0.526)
Tl (0.758, 0.758, 0.172)

Results
For the final energy, the calculation gives -2.39 eV per atom.

[6]
The following is a PBE calculation of crystalline TaTi2NbH at its relaxed geometry, from the Alexandria database.

a b c (Å): 3.962 3.962 4.640
angles (deg): 90.00 90.00 90.00
Fractional positions:
Ta (0.000, 0.000, 0.000)
Ti (0.000, 0.500, 0.500)
Ti (0.500, 0.000, 0.500)
Nb (0.500, 0.500, 0.000)
H (0.000, 0.000, 0.500)

Results
For the final energy, the calculation gives -8.24 eV per atom.

[7]
The following is a PBE calculation of crystalline LiLuTiRe at its relaxed geometry, from the Alexandria database.

a b c (Å): 4.610 4.610 4.610
angles (deg): 60.00 60.00 60.00
Fractional positions:
Li (0.000, 0.000, 0.000)
Lu (0.250, 0.250, 0.250)
Ti (0.750, 0.750, 0.750)
Re (0.500, 0.500, 0.500)

Results
For the final energy, the calculation gives -6.71 eV per atom.

[8]
The following is a PBE calculation of crystalline Li2CaAu9 at its relaxed geometry, from the Alexandria database.

a b c (Å): 4.193 4.193 12.274
angles (deg): 90.00 90.00 90.00
Fractional positions:
Li (0.000, 0.000, 0.157)
Li (0.000, 0.000, 0.843)
Ca (0.000, 0.000, 0.500)
Au (0.000, 0.500, 0.000)
Au (0.000, 0.500, 0.319)
Au (0.000, 0.500, 0.681)
Au (0.500, 0.000, 0.000)
Au (0.500, 0.000, 0.319)
Au (0.500, 0.000, 0.681)
Au (0.500, 0.500, 0.159)
Au (0.500, 0.500, 0.500)
Au (0.500, 0.500, 0.841)

Results
For the final energy, the calculation gives -3.34 eV per atom.

[9]
The following is a PBE calculation of crystalline LaY2Fe at its relaxed geometry, from the Alexandria database.

a b c (Å): 5.250 5.250 3.976
angles (deg): 90.00 90.00 98.86
Fractional positions:
La (0.000, 0.000, 0.000)
Y (0.000, 0.500, 0.500)
Y (0.500, 0.000, 0.500)
Fe (0.500, 0.500, 0.000)

Results
For the final energy, the calculation gives -6.18 eV per atom.

[10]
The following is a PBE calculation of crystalline Re2AuBr at its relaxed geometry, from the Alexandria database.

a b c (Å): 8.969 8.969 8.969
angles (deg): 18.88 18.88 18.88
Fractional positions:
Re (0.248, 0.248, 0.248)
Re (0.752, 0.752, 0.752)
Au (0.000, 0.000, 0.000)
Br (0.500, 0.500, 0.500)

Results
For the final energy, the calculation gives -6.42 eV per atom. The uncorrected formation energy is 1.0409 eV per atom.

[11]
The following is a PBE calculation of crystalline Li2Zr2Zn3 at its relaxed geometry, from the Alexandria database.

a b c (Å): 13.265 13.265 2.921
angles (deg): 90.00 90.00 165.92
Fractional positions:
Li (0.209, 0.791, 0.000)
Li (0.791, 0.209, 0.000)
Zr (0.074, 0.926, 0.000)
Zr (0.926, 0.074, 0.000)
Zn (0.352, 0.648, 0.500)
Zn (0.500, 0.500, 0.500)
Zn (0.648, 0.352, 0.500)

Results
For the final energy, the calculation gives -3.70 eV per atom.

[12]
The following is a PBE calculation of crystalline KMgGaSe3 at its relaxed geometry, from the Alexandria database.

a b c (Å): 8.838 3.976 10.754
angles (deg): 90.00 108.76 90.00
Fractional positions:
K (0.216, 0.250, 0.207)
K (0.784, 0.750, 0.793)
Mg (0.363, 0.750, 0.902)
Mg (0.637, 0.250, 0.098)
Ga (0.095, 0.250, 0.627)
Ga (0.905, 0.750, 0.373)
Se (0.113, 0.250, 0.849)
Se (0.192, 0.750, 0.530)
Se (0.474, 0.750, 0.159)
Se (0.526, 0.250, 0.841)
Se (0.808, 0.250, 0.470)
Se (0.887, 0.750, 0.151)

Results
For the final energy, the calculation gives -3.66 eV per atom. The uncorrected formation energy is -0.9654 eV per atom.

[13]
The following is a PBE calculation of crystalline BaPr2Pt9 at its relaxed geometry, from the Alexandria database.

a b c (Å): 9.451 9.451 9.451
angles (deg): 34.31 34.31 34.31
Fractional positions:
Ba (0.000, 0.000, 0.000)
Pr (0.140, 0.140, 0.140)
Pr (0.860, 0.860, 0.860)
Pt (0.081, 0.587, 0.587)
Pt (0.332, 0.332, 0.332)
Pt (0.413, 0.413, 0.919)
Pt (0.413, 0.919, 0.413)
Pt (0.500, 0.500, 0.500)
Pt (0.587, 0.081, 0.587)
Pt (0.587, 0.587, 0.081)
Pt (0.668, 0.668, 0.668)
Pt (0.919, 0.413, 0.413)

Results
For the final energy, the calculation gives -6.30 eV per atom.

[14]
The following is a PBE calculation of crystalline PrEr12Tm7 at its relaxed geometry, from the Alexandria database.

a b c (Å): 8.621 8.621 8.621
angles (deg): 87.02 87.02 87.02
Fractional positions:
Pr (0.000, 0.000, 0.000)
Er (0.105, 0.433, 0.346)
Er (0.233, 0.354, 0.761)
Er (0.239, 0.767, 0.646)
Er (0.346, 0.105, 0.433)
Er (0.354, 0.761, 0.233)
Er (0.433, 0.346, 0.105)
Er (0.567, 0.654, 0.895)
Er (0.646, 0.239, 0.767)
Er (0.654, 0.895, 0.567)
Er (0.761, 0.233, 0.354)
Er (0.767, 0.646, 0.239)
Er (0.895, 0.567, 0.654)
Tm (0.002, 0.877, 0.369)
Tm (0.123, 0.631, 0.998)
Tm (0.369, 0.002, 0.877)
Tm (0.500, 0.500, 0.500)
Tm (0.631, 0.998, 0.123)
Tm (0.877, 0.369, 0.002)
Tm (0.998, 0.123, 0.631)

Results
For the final energy, the calculation gives -4.30 eV per atom.

[15]
The following is a PBE calculation of crystalline TlCdIn at its relaxed geometry, from the Alexandria database.

a b c (Å): 5.958 3.393 8.051
angles (deg): 90.00 90.88 90.00
Fractional positions:
Tl (0.248, 0.000, 0.491)
Tl (0.752, 0.500, 0.509)
Cd (0.077, 0.501, 0.154)
Cd (0.923, 0.001, 0.846)
In (0.413, 0.502, 0.839)
In (0.587, 0.002, 0.161)

Results
For the final energy, the calculation gives -1.96 eV per atom.

[16]
The following is a PBE calculation of crystalline TbNd3Th2 at its relaxed geometry, from the Alexandria database.

a b c (Å): 10.234 3.634 10.860
angles (deg): 90.00 90.31 90.00
Fractional positions:
Tb (0.125, 0.250, 0.250)
Tb (0.875, 0.750, 0.750)
Nd (0.133, 0.250, 0.584)
Nd (0.362, 0.750, 0.083)
Nd (0.377, 0.750, 0.750)
Nd (0.623, 0.250, 0.250)
Nd (0.638, 0.250, 0.917)
Nd (0.867, 0.750, 0.416)
Th (0.116, 0.250, 0.919)
Th (0.380, 0.750, 0.419)
Th (0.620, 0.250, 0.581)
Th (0.884, 0.750, 0.081)

Results
For the final energy, the calculation gives -5.58 eV per atom.

[17]
The following is a PBE calculation of crystalline Ta5Mo3 at its relaxed geometry, from the Alexandria database.

a b c (Å): 3.250 4.604 9.185
angles (deg): 90.00 90.00 90.00
Fractional positions:
Ta (0.000, 0.000, 0.000)
Ta (0.000, 0.000, 0.500)
Ta (0.000, 0.500, 0.243)
Ta (0.000, 0.500, 0.757)
Ta (0.500, 0.500, 0.500)
Mo (0.500, 0.000, 0.251)
Mo (0.500, 0.000, 0.749)
Mo (0.500, 0.500, 0.000)

Results
For the final energy, the calculation gives -11.62 eV per atom.

[18]
The following is a PBE calculation of crystalline ErLu2Al at its relaxed geometry, from the Alexandria database.

a b c (Å): 11.478 11.478 11.478
angles (deg): 16.93 16.93 16.93
Fractional positions:
Er (0.000, 0.000, 0.000)
Lu (0.099, 0.099, 0.099)
Lu (0.901, 0.901, 0.901)
Al (0.500, 0.500, 0.500)

Results
For the final energy, the calculation gives -4.22 eV per atom.

[19]
The following is a PBE calculation of crystalline DyHg2Cl8 at its relaxed geometry, from the Alexandria database.

a b c (Å): 8.098 8.098 6.519
angles (deg): 101.38 101.38 63.80
Fractional positions:
Dy (0.000, 0.000, 0.000)
Hg (0.205, 0.205, 0.709)
Hg (0.795, 0.795, 0.291)
Cl (0.124, 0.705, 0.208)
Cl (0.169, 0.169, 0.292)
Cl (0.295, 0.876, 0.792)
Cl (0.383, 0.383, 0.813)
Cl (0.617, 0.617, 0.187)
Cl (0.705, 0.124, 0.208)
Cl (0.831, 0.831, 0.708)
Cl (0.876, 0.295, 0.792)

Results
For the final energy, the calculation gives -2.83 eV per atom. The uncorrected formation energy is -1.0164 eV per atom.

[20]
The following is a PBE calculation of crystalline SmEr2Tl2Zn2 at its relaxed geometry, from the Alexandria database.

a b c (Å): 9.343 9.343 9.343
angles (deg): 29.63 29.63 29.63
Fractional positions:
Sm (0.000, 0.000, 0.000)
Er (0.131, 0.131, 0.131)
Er (0.869, 0.869, 0.869)
Tl (0.265, 0.265, 0.265)
Tl (0.735, 0.735, 0.735)
Zn (0.426, 0.426, 0.426)
Zn (0.574, 0.574, 0.574)

Results
For the final energy, the calculation gives -3.17 eV per atom.

[21]
The following is a PBE calculation of crystalline TbPm5Sm2Dy at its relaxed geometry, from the Alexandria database.

a b c (Å): 10.168 10.168 10.168
angles (deg): 129.36 129.36 74.43
Fractional positions:
Tb (0.250, 0.250, 0.000)
Tb (0.750, 0.750, 0.000)
Pm (0.000, 0.000, 0.000)
Pm (0.070, 0.570, 0.922)
Pm (0.149, 0.070, 0.500)
Pm (0.351, 0.851, 0.922)
Pm (0.430, 0.351, 0.500)
Pm (0.500, 0.500, 0.000)
Pm (0.570, 0.649, 0.500)
Pm (0.649, 0.149, 0.078)
Pm (0.851, 0.930, 0.500)
Pm (0.930, 0.430, 0.078)
Sm (0.119, 0.381, 0.500)
Sm (0.381, 0.881, 0.261)
Sm (0.619, 0.119, 0.739)
Sm (0.881, 0.619, 0.500)
Dy (0.250, 0.750, 0.500)
Dy (0.750, 0.250, 0.500)

Results
For the final energy, the calculation gives -4.43 eV per atom.

[22]
The following is a PBE calculation of crystalline Tb5SmHg3 at its relaxed geometry, from the Alexandria database.

a b c (Å): 9.139 9.139 6.986
angles (deg): 90.00 90.00 120.00
Fractional positions:
Tb (0.000, 0.332, 0.250)
Tb (0.000, 0.668, 0.750)
Tb (0.332, 0.000, 0.250)
Tb (0.332, 0.332, 0.750)
Tb (0.333, 0.667, 0.000)
Tb (0.333, 0.667, 0.500)
Tb (0.667, 0.333, 0.000)
Tb (0.667, 0.333, 0.500)
Tb (0.668, 0.000, 0.750)
Tb (0.668, 0.668, 0.250)
Sm (0.000, 0.000, 0.000)
Sm (0.000, 0.000, 0.500)
Hg (0.000, 0.336, 0.750)
Hg (0.000, 0.664, 0.250)
Hg (0.336, 0.000, 0.750)
Hg (0.336, 0.336, 0.250)
Hg (0.664, 0.000, 0.250)
Hg (0.664, 0.664, 0.750)

Results
For the final energy, the calculation gives -3.50 eV per atom.

[23]
The following is a PBE calculation of crystalline Th6Hg3TeC2 at its relaxed geometry, from the Alexandria database.

a b c (Å): 9.928 9.928 9.193
angles (deg): 110.63 110.63 22.76
Fractional positions:
Th (0.040, 0.040, 0.276)
Th (0.316, 0.316, 0.456)
Th (0.324, 0.324, 0.858)
Th (0.676, 0.676, 0.142)
Th (0.684, 0.684, 0.544)
Th (0.960, 0.960, 0.724)
Hg (0.145, 0.145, 0.813)
Hg (0.500, 0.500, 0.500)
Hg (0.855, 0.855, 0.187)
Te (0.500, 0.500, 0.000)
C (0.175, 0.175, 0.323)
C (0.825, 0.825, 0.677)

Results
For the final energy, the calculation gives -5.92 eV per atom. The uncorrected formation energy is -0.3361 eV per atom.

[24]
The following is a PBE calculation of crystalline GaGePt2 at its relaxed geometry, from the Alexandria database.

a b c (Å): 6.940 6.940 6.940
angles (deg): 132.25 132.25 69.84
Fractional positions:
Ga (0.000, 0.000, 0.000)
Ga (0.750, 0.250, 0.500)
Ge (0.250, 0.750, 0.500)
Ge (0.500, 0.500, 0.000)
Pt (0.132, 0.625, 0.007)
Pt (0.375, 0.382, 0.507)
Pt (0.618, 0.125, 0.993)
Pt (0.875, 0.868, 0.493)

Results
For the final energy, the calculation gives -5.16 eV per atom.

Number 1: total magnetic moment 0.00 μB per cell. Number 2: total magnetic moment 0.00 μB per cell. Number 3: total magnetic moment 0.00 μB per cell. Number 4: total magnetic moment 0.00 μB per cell. Number 5: total magnetic moment 0.00 μB per cell. Number 6: total magnetic moment 0.66 μB per cell. Number 7: total magnetic moment 0.00 μB per cell. Number 8: total magnetic moment 0.00 μB per cell. Number 9: total magnetic moment 1.68 μB per cell. Number 10: total magnetic moment 0.00 μB per cell. Number 11: total magnetic moment 0.00 μB per cell. Number 12: total magnetic moment 0.00 μB per cell. Number 13: total magnetic moment 0.00 μB per cell. Number 14: total magnetic moment 0.00 μB per cell. Number 15: total magnetic moment 0.00 μB per cell. Number 16: total magnetic moment 0.00 μB per cell. Number 17: total magnetic moment 0.00 μB per cell. Number 18: total magnetic moment 0.83 μB per cell. Number 19: total magnetic moment 1.04 μB per cell. Number 20: total magnetic moment 0.00 μB per cell. Number 21: total magnetic moment 0.00 μB per cell. Number 22: total magnetic moment 0.00 μB per cell. Number 23: total magnetic moment 0.00 μB per cell. Number 24: total magnetic moment 0.00 μB per cell.